First-principles (PBE-GGA) data for a relaxed TbZn6CuNi crystal, as listed in Alexandria via LeMat-Bulk.

Unit cell a=8.3315 b=6.9679 c=7.6152 alpha=117.23 beta=123.16 gamma=90.00
Closest atoms and distances in Å follow each position.
Fractional coordinates of all 18 atoms:
Tb: 0.9363 0.1863 0.8727  2 Ni 2.88, 9 Zn 3.02-3.20
Zn: 0.2425 0.4925 0.4849  8 Zn 2.78-2.84
Zn: 0.6530 0.9030 0.3060  2 Ni 2.33, 2 Cu 2.39
Zn: 0.8739 0.1829 0.2504  1 Cu 2.50, 1 Ni 2.52, 4 Zn 2.67-2.79
Zn: 0.3470 0.0970 0.6940  2 Ni 2.33, 2 Cu 2.39
Zn: 0.3765 0.5675 0.2504  1 Cu 2.50, 1 Ni 2.52, 4 Zn 2.67-2.79
Zn: 0.6235 0.8171 0.7496  1 Cu 2.50, 1 Ni 2.52, 4 Zn 2.67-2.79
Tb: 0.0637 0.8137 0.1273  2 Ni 2.88, 9 Zn 3.02-3.20
Ni: 0.0000 0.0000 0.5000  6 Zn 2.33-2.52
Ni: 0.5000 0.0000 0.5000  6 Zn 2.33-2.52
Cu: 0.5000 0.0000 0.0000  6 Zn 2.39-2.50
Zn: 0.7575 0.5075 0.5151  8 Zn 2.78-2.84
Zn: 0.6235 0.4325 0.7496  1 Cu 2.50, 1 Ni 2.52, 4 Zn 2.67-2.79
Zn: 0.1261 0.4325 0.7496  1 Cu 2.50, 1 Ni 2.52, 4 Zn 2.67-2.79
Cu: 0.5000 0.5000 0.0000  6 Zn 2.39-2.50
Zn: 0.3765 0.1829 0.2504  1 Cu 2.50, 1 Ni 2.52, 4 Zn 2.67-2.79
Zn: 0.8739 0.5675 0.2504  1 Cu 2.50, 1 Ni 2.52, 4 Zn 2.67-2.79
Zn: 0.1261 0.8171 0.7496  1 Cu 2.50, 1 Ni 2.52, 4 Zn 2.67-2.79

Summary:
ΔE_f in meV per atom: -16.9

First-principles (PBE-GGA) data for a relaxed MnSb2P crystal, as listed in Alexandria via LeMat-Bulk.

Unit cell a=5.9687 b=5.9687 c=7.1553 alpha=65.35 beta=65.35 gamma=90.00
Closest atoms and distances in Å follow each position.
Fractional coordinates of all 8 atoms:
Sb: 0.3750 0.3506 0.7500  2 Mn 2.48, 2 P 2.64
P: 0.5000 0.5000 0.0000  4 Sb 2.64
Mn: 0.7500 0.2500 0.5000  4 Sb 2.48
Sb: 0.6494 0.1250 0.2500  2 Mn 2.48, 2 P 2.64
P: 0.2500 0.7500 0.5000  4 Sb 2.64
Sb: 0.8750 0.8994 0.7500  2 Mn 2.48, 2 P 2.64
Sb: 0.1006 0.6250 0.2500  2 Mn 2.48, 2 P 2.64
Mn: 0.0000 0.0000 0.0000  4 Sb 2.48

Summary:
Energy relative to the elements, uncorrected in meV/atom: 545

First-principles (PBE-GGA) data for a relaxed TiHg3Mo crystal, as listed in Alexandria via LeMat-Bulk.

Unit cell a=5.2499 b=5.2499 c=5.2499 alpha=90.00 beta=90.00 gamma=90.00
Closest atoms and distances in Å follow each position.
Fractional coordinates of all 5 atoms:
Hg: 0.0000 0.5000 0.0000  2 Ti 2.62
Hg: 0.5000 0.0000 0.0000  2 Ti 2.62
Hg: 0.0000 0.0000 0.5000  2 Ti 2.62
Ti: 0.0000 0.0000 0.0000  6 Hg 2.62
Mo: 0.5000 0.5000 0.5000  12 Hg 3.71

Summary:
ΔE_f in meV per atom: 1314.0

First-principles (PBE-GGA) data for a relaxed FeRuBr2 crystal, as listed in Alexandria via LeMat-Bulk.

Unit cell a=4.8042 b=4.8042 c=4.8042 alpha=60.00 beta=60.00 gamma=60.00
Closest atoms and distances in Å follow each position.
Fractional coordinates of all 4 atoms:
Ru: 0.7500 0.7500 0.7500  4 Fe 2.94, 4 Br 2.94
Br: 0.2500 0.2500 0.2500  4 Fe 2.94, 4 Br 2.94
Fe: 0.5000 0.5000 0.5000  4 Ru 2.94, 4 Br 2.94
Br: 0.0000 0.0000 0.0000  4 Br 2.94, 4 Ru 2.94

Summary:
Energy relative to the lowest polymorph listed for this composition in eV/atom: 0.964
Energy relative to the elements, uncorrected in meV/atom: 1109

First-principles (PBE-GGA) data for a relaxed ZrTc crystal, as listed in Alexandria via LeMat-Bulk.

Unit cell a=3.3113 b=4.9691 c=4.3612 alpha=90.00 beta=90.00 gamma=90.00
Closest atoms and distances in Å follow each position.
Fractional coordinates of all 4 atoms:
Zr: 0.0000 0.5000 0.5000  4 Tc 2.74, 4 Zr 2.99
Zr: 0.5000 0.0000 0.5000  4 Tc 2.74, 4 Zr 2.99
Tc: 0.5000 0.5000 0.0000  4 Zr 2.74, 4 Tc 2.99
Tc: 0.0000 0.0000 0.0000  4 Zr 2.74, 4 Tc 2.99

Summary:
ΔE_f in meV per atom: -102.6

First-principles (PBE-GGA) data for a relaxed Ba2Cd5Hg5 crystal, as listed in Alexandria via LeMat-Bulk.

Unit cell a=5.2156 b=6.0425 c=10.7884 alpha=90.00 beta=90.00 gamma=90.00
Closest atoms and distances in Å follow each position.
Fractional coordinates of all 12 atoms:
Cd: 0.5000 0.2491 0.2529  3 Cd 3.01-3.07, 5 Hg 3.12-3.14
Cd: 0.5000 0.2491 0.7471  3 Cd 3.01-3.07, 5 Hg 3.12-3.14
Cd: 0.5000 0.7509 0.2529  3 Cd 3.01-3.07, 5 Hg 3.12-3.14
Hg: 0.5000 0.0000 0.0000  4 Cd 3.12, 4 Hg 3.20
Cd: 0.5000 0.7509 0.7471  3 Cd 3.01-3.07, 5 Hg 3.12-3.14
Cd: 0.5000 0.5000 0.5000  4 Cd 3.07, 4 Hg 3.17
Ba: 0.0000 0.0000 0.5000  6 Hg 3.52-3.55
Hg: 0.0000 0.5000 0.6677  6 Cd 3.14-3.17, 2 Hg 3.49
Ba: 0.0000 0.5000 0.0000  6 Hg 3.54-3.58
Hg: 0.0000 0.0000 0.8288  4 Cd 3.14, 4 Hg 3.20-3.49
Hg: 0.0000 0.5000 0.3323  6 Cd 3.14-3.17, 2 Hg 3.49
Hg: 0.0000 0.0000 0.1712  4 Cd 3.14, 4 Hg 3.20-3.49

Summary:
ΔE_f in meV per atom: -273.3

First-principles (PBE-GGA) data for a relaxed SrSi2Se crystal, as listed in Alexandria via LeMat-Bulk.

Unit cell a=5.3118 b=5.3118 c=5.3118 alpha=128.53 beta=128.53 gamma=75.77
Closest atoms and distances in Å follow each position.
Fractional coordinates of all 4 atoms:
Sr: 0.5000 0.5000 0.0000  4 Se 3.12, 8 Si 3.12-3.26
Si: 0.2500 0.7500 0.5000  4 Sr 3.12, 4 Si 3.12, 4 Se 3.26
Se: 0.7500 0.2500 0.5000  4 Sr 3.12, 8 Si 3.12-3.26
Si: 0.0000 0.0000 0.0000  4 Se 3.12, 4 Si 3.12, 4 Sr 3.26

Summary:
Energy relative to the elements, uncorrected in meV/atom: -19

First-principles (PBE-GGA) data for a relaxed In4CuBiS8 crystal, as listed in Alexandria via LeMat-Bulk.

Unit cell a=7.7667 b=7.7667 c=7.7489 alpha=59.92 beta=59.92 gamma=60.00
Closest atoms and distances in Å follow each position.
Fractional coordinates of all 14 atoms:
S: 0.7487 0.2289 0.2736  3 In 2.51-2.69
In: 0.0071 0.0071 0.5048  6 S 2.64-2.73
S: 0.2570 0.7511 0.7350  1 Cu 2.38, 2 In 2.64
S: 0.2289 0.7487 0.2736  3 In 2.51-2.69
Cu: 0.3761 0.3761 0.8717  4 S 2.38-2.43
S: 0.7590 0.7590 0.7230  4 In 2.55-2.73
S: 0.2570 0.2570 0.7350  1 Cu 2.38, 2 In 2.64
Bi: 0.0056 0.0056 0.9831  6 S 2.76-2.83
In: 0.0071 0.4811 0.5048  6 S 2.64-2.73
In: 0.4811 0.0071 0.5048  6 S 2.64-2.73
In: 0.6245 0.6245 0.1265  4 S 2.51-2.55
S: 0.7511 0.2570 0.7350  1 Cu 2.38, 2 In 2.64
S: 0.2481 0.2481 0.2556  1 Cu 2.43, 3 In 2.65
S: 0.7487 0.7487 0.2736  3 In 2.51-2.69

Summary:
Energy relative to the elements, uncorrected in meV/atom: -468

First-principles (PBE-GGA) data for a relaxed PrSc2In crystal, as listed in Alexandria via LeMat-Bulk.

Unit cell a=3.4711 b=3.4711 c=8.7168 alpha=90.00 beta=90.00 gamma=90.00
Closest atoms and distances in Å follow each position.
Fractional coordinates of all 4 atoms:
Sc: 0.0000 0.0000 0.7818  4 In 3.10, 4 Sc 3.47, 4 Pr 3.47
In: 0.5000 0.5000 0.0000  8 Sc 3.10, 4 In 3.47
Sc: 0.0000 0.0000 0.2182  4 In 3.10, 4 Sc 3.47, 4 Pr 3.47
Pr: 0.5000 0.5000 0.5000  4 Pr 3.47, 8 Sc 3.47

Summary:
Energy relative to the lowest polymorph listed for this composition in eV/atom: 0.026
ΔE_f in meV per atom: -209.0

First-principles (PBE-GGA) data for a relaxed Tb2Pm5Y6 crystal, as listed in Alexandria via LeMat-Bulk.

Unit cell a=3.6055 b=11.7416 c=20.6080 alpha=90.00 beta=90.00 gamma=90.00
Closest atoms and distances in Å follow each position.
Fractional coordinates of all 26 atoms:
Y: 0.5000 0.8242 0.3629  2 Pm 3.37-3.50, 4 Y 3.52-3.61, 2 Tb 3.63
Pm: 0.5000 0.2000 0.9508  6 Y 3.56-3.64, 3 Pm 3.61-3.67, 2 Tb 3.79
Tb: 0.0000 0.3301 0.2899  3 Y 3.34-3.63, 4 Pm 3.51-3.63, 2 Tb 3.61
Pm: 0.5000 0.8000 0.0492  6 Y 3.56-3.64, 3 Pm 3.61-3.67, 2 Tb 3.79
Pm: 0.5000 0.4151 0.7275  5 Y 3.37-3.52, 4 Tb 3.51-3.63, 2 Pm 3.61
Pm: 0.5000 0.3000 0.4508  6 Y 3.56-3.64, 3 Pm 3.61-3.67, 2 Tb 3.79
Y: 0.5000 0.1758 0.6371  2 Pm 3.37-3.50, 4 Y 3.52-3.61, 2 Tb 3.63
Pm: 0.5000 0.9151 0.7725  5 Y 3.37-3.52, 4 Tb 3.51-3.63, 2 Pm 3.61
Y: 0.0000 0.0817 0.3690  1 Tb 3.34, 6 Pm 3.38-3.56, 4 Y 3.52-3.61
Y: 0.0000 0.0589 0.0813  6 Pm 3.52-3.64, 5 Y 3.61-3.78, 1 Tb 3.78
Y: 0.0000 0.9411 0.9187  6 Pm 3.52-3.64, 5 Y 3.61-3.78, 1 Tb 3.78
Tb: 0.0000 0.1699 0.7899  3 Y 3.34-3.63, 4 Pm 3.51-3.63, 2 Tb 3.61
Y: 0.0000 0.5589 0.4187  6 Pm 3.52-3.64, 5 Y 3.61-3.78, 1 Tb 3.78
Y: 0.0000 0.9183 0.6310  1 Tb 3.34, 6 Pm 3.38-3.56, 4 Y 3.52-3.61
Y: 0.0000 0.4183 0.8690  1 Tb 3.34, 6 Pm 3.38-3.56, 4 Y 3.52-3.61
Y: 0.0000 0.5817 0.1310  1 Tb 3.34, 6 Pm 3.38-3.56, 4 Y 3.52-3.61
Y: 0.0000 0.4411 0.5813  6 Pm 3.52-3.64, 5 Y 3.61-3.78, 1 Tb 3.78
Pm: 0.5000 0.0849 0.2275  5 Y 3.37-3.52, 4 Tb 3.51-3.63, 2 Pm 3.61
Pm: 0.5000 0.5849 0.2725  5 Y 3.37-3.52, 4 Tb 3.51-3.63, 2 Pm 3.61
Y: 0.5000 0.3242 0.1371  2 Pm 3.37-3.50, 4 Y 3.52-3.61, 2 Tb 3.63
Pm: 0.5000 0.0000 0.5000  6 Y 3.38-3.50, 4 Pm 3.61-3.67
Pm: 0.5000 0.5000 0.0000  6 Y 3.38-3.50, 4 Pm 3.61-3.67
Tb: 0.0000 0.6699 0.7101  3 Y 3.34-3.63, 4 Pm 3.51-3.63, 2 Tb 3.61
Tb: 0.0000 0.8301 0.2101  3 Y 3.34-3.63, 4 Pm 3.51-3.63, 2 Tb 3.61
Pm: 0.5000 0.7000 0.5492  6 Y 3.56-3.64, 3 Pm 3.61-3.67, 2 Tb 3.79
Y: 0.5000 0.6758 0.8629  2 Pm 3.37-3.50, 4 Y 3.52-3.61, 2 Tb 3.63

Summary:
ΔE_f in meV per atom: 93.2

First-principles (PBE-GGA) data for a relaxed PuTlInAu crystal, as listed in Alexandria via LeMat-Bulk.

Unit cell a=5.1576 b=5.1576 c=5.1576 alpha=60.00 beta=60.00 gamma=60.00
Closest atoms and distances in Å follow each position.
Fractional coordinates of all 4 atoms:
Pu: 0.2500 0.2500 0.2500  4 Tl 3.16, 4 Au 3.16
In: 0.7500 0.7500 0.7500  4 Tl 3.16, 4 Au 3.16
Tl: 0.5000 0.5000 0.5000  4 Pu 3.16, 4 In 3.16
Au: 0.0000 0.0000 0.0000  4 In 3.16, 4 Pu 3.16

Summary:
ΔE_f in meV per atom: -194.9

First-principles (PBE-GGA) data for a relaxed BaYSb2 crystal, as listed in Alexandria via LeMat-Bulk.

Unit cell a=5.6758 b=5.6758 c=5.6758 alpha=60.00 beta=60.00 gamma=60.00
Closest atoms and distances in Å follow each position.
Fractional coordinates of all 4 atoms:
Ba: 0.5000 0.5000 0.5000  8 Sb 3.48
Sb: 0.7500 0.7500 0.7500  4 Y 3.48, 4 Ba 3.48
Sb: 0.2500 0.2500 0.2500  4 Ba 3.48, 4 Y 3.48
Y: 0.0000 0.0000 0.0000  8 Sb 3.48

Summary:
Energy relative to the lowest polymorph listed for this composition in eV/atom: 0.217
Energy relative to the elements, uncorrected in meV/atom: -736